[1]
Material: Nd5ErSc2
Method: DFT, PBE
State: optimized geometry

Structure (POSCAR):
```
Nd5ErSc2
1.0
9.0729 0.0000 0.0000
0.0000 9.0729 0.0000
-4.5364 -4.5364 6.2835
Nd Er Sc
10 2 4
direct
0.4899 0.6904 0.6804
0.8096 0.0101 0.3196
0.0000 0.0000 0.0000
0.5000 0.5000 0.0000
0.1904 0.9899 0.6804
0.6904 0.1904 0.6804
0.9899 0.4899 0.6804
0.3096 0.8096 0.3196
0.0101 0.5101 0.3196
0.5101 0.3096 0.3196
0.7500 0.7500 0.5000
0.2500 0.2500 0.5000
0.1466 0.3534 0.0000
0.6466 0.1466 0.0000
0.3534 0.8534 0.0000
0.8534 0.6466 0.0000
```

Output
**SG**: I4/mcm, No. 140
**N(E_F)**: 22.57 states/eV per cell

---

[2]
Material: Nd4Er3Sc2
Method: DFT, PBE
State: optimized geometry

Structure (POSCAR):
```
Nd4Er3Sc2
1.0
3.5843 0.0000 0.0000
-1.7921 6.1884 1.3823
0.0000 3.6027 13.7285
Nd Er Sc
4 3 2
direct
0.6519 0.3038 0.1279
0.1059 0.2119 0.6142
0.8941 0.7881 0.3858
0.3481 0.6962 0.8721
0.3761 0.7522 0.6132
0.0000 0.0000 0.0000
0.6239 0.2478 0.3868
0.3380 0.6760 0.2079
0.6620 0.3240 0.7921
```

Output
**SG**: C2/m, No. 12
**N(E_F)**: 13.83 states/eV per cell

---

[3]
Material: Nd5ErSc
Method: DFT, PBE
State: optimized geometry

Structure (POSCAR):
```
Nd5ErSc
1.0
-0.2697 5.6026 -1.5643
-7.2041 3.0922 1.4945
-0.2272 4.7917 6.3783
Nd Er Sc
5 1 1
direct
0.7550 0.2450 0.2450
0.0000 0.3182 0.6818
0.5000 0.0000 0.0000
0.0000 0.6818 0.3182
0.2450 0.7550 0.7550
0.5000 0.5000 0.5000
0.0000 0.0000 0.0000
```

Output
**SG**: Immm, No. 71
**N(E_F)**: 12.17 states/eV per cell

---

[4]
Material: Nd3Er7Sc2
Method: DFT, PBE
State: optimized geometry

Structure (POSCAR):
```
Nd3Er7Sc2
1.0
-3.0583 -1.3588 1.2460
2.4656 -1.1817 4.7633
-3.5613 18.7318 6.4901
Nd Er Sc
3 7 2
direct
0.5000 0.5000 0.0000
0.8252 0.0000 0.6610
0.1748 0.0000 0.3390
0.2849 0.5000 0.5703
0.7151 0.5000 0.4297
0.4073 0.0000 0.8245
0.0000 0.0000 0.0000
0.5927 0.0000 0.1755
0.0734 0.5000 0.1381
0.9266 0.5000 0.8619
0.3564 0.5000 0.7257
0.6436 0.5000 0.2743
```

Output
**SG**: P2/m, No. 10
**N(E_F)**: 19.68 states/eV per cell

---

[5]
Material: NdErSc6
Method: DFT, PBE
State: optimized geometry

Structure (POSCAR):
```
NdErSc6
1.0
-5.1590 -0.8251 1.0153
1.1473 -6.6868 0.3959
0.4781 3.8646 5.5698
Nd Er Sc
1 1 6
direct
0.5000 0.4166 0.5834
0.0000 0.0833 0.9167
0.0000 0.0741 0.4120
0.0000 0.5880 0.9259
0.0000 0.5879 0.4121
0.5000 0.4240 0.0871
0.5000 0.9129 0.5760
0.5000 0.9129 0.0871
```

Output
**SG**: P-6m2, No. 187
**N(E_F)**: 15.26 states/eV per cell

---

[6]
Material: Nd2ErSc8
Method: DFT, PBE
State: optimized geometry

Structure (POSCAR):
```
Nd2ErSc8
1.0
-4.6447 1.9138 -2.3275
-7.9922 -1.6420 2.8642
-3.6739 5.3730 5.8820
Nd Er Sc
2 1 8
direct
0.0000 0.3059 0.3883
0.0000 0.6941 0.6117
0.5000 0.0000 0.0000
0.8182 0.0970 0.2322
0.8182 0.3292 0.7678
0.2914 0.4427 0.0000
0.5000 0.7938 0.4125
0.5000 0.2062 0.5875
0.7086 0.5573 0.0000
0.1818 0.6708 0.2322
0.1818 0.9030 0.7678
```

Output
**SG**: C2/m, No. 12
**N(E_F)**: 15.31 states/eV per cell

---

[7]
Material: NdErSc2
Method: DFT, PBE
State: optimized geometry

Structure (POSCAR):
```
NdErSc2
1.0
-4.0780 -5.3795 4.0042
-2.0269 -1.3778 -3.9153
1.4821 -3.1568 0.3437
Nd Er Sc
1 1 2
direct
0.7500 0.5000 0.7500
0.2500 0.5000 0.2500
0.0061 0.0000 0.9934
0.4939 0.0000 0.5066
```

Output
**SG**: P2/m, No. 10
**N(E_F)**: 5.84 states/eV per cell

---

[8]
Material: NdEr2Sc2
Method: DFT, PBE
State: optimized geometry

Structure (POSCAR):
```
NdEr2Sc2
1.0
-4.9133 1.7902 -1.5684
-2.7567 -5.8378 1.9723
2.6094 5.0772 7.1228
Nd Er Sc
2 4 4
direct
0.3754 0.1254 0.2508
0.6246 0.8746 0.7492
0.6242 0.3742 0.7484
0.0010 0.7510 0.5020
0.9990 0.2490 0.4980
0.3758 0.6258 0.2516
0.8080 0.3133 0.1161
0.8080 0.8028 0.1161
0.1920 0.1972 0.8839
0.1920 0.6867 0.8839
```

Output
**SG**: Imma, No. 74
**N(E_F)**: 17.43 states/eV per cell

---

[9]
Material: NdEr7Sc2
Method: DFT, PBE
State: optimized geometry

Structure (POSCAR):
```
NdEr7Sc2
1.0
5.1292 -0.8310 1.0243
-1.8717 8.6515 2.6965
1.5449 3.1875 8.5472
Nd Er Sc
1 7 2
direct
0.0000 0.0000 0.0000
0.0001 0.2031 0.2028
0.9999 0.7969 0.7972
0.2473 0.8604 0.3656
0.7527 0.1396 0.6344
0.2470 0.6342 0.1399
0.7530 0.3658 0.8601
0.5000 0.5000 0.5000
0.4997 0.3006 0.3012
0.5003 0.6994 0.6988
```

Output
**SG**: Immm, No. 71
**N(E_F)**: 17.35 states/eV per cell

---

[10]
Material: Nd6Er3Sc2
Method: DFT, PBE
State: optimized geometry

Structure (POSCAR):
```
Nd6Er3Sc2
1.0
-2.5684 0.0559 -5.6268
3.0977 -2.3058 -4.8367
-5.2818 -9.9600 0.0492
Nd Er Sc
6 3 2
direct
0.4203 0.6689 0.7377
0.7514 0.0000 0.7374
0.0892 0.3311 0.7377
0.2486 0.0000 0.2626
0.5797 0.3311 0.2623
0.9108 0.6689 0.2623
0.0000 0.0000 0.0000
0.3333 0.3335 0.0000
0.6667 0.6665 0.0000
0.1671 0.6657 0.5000
0.8329 0.3343 0.5000
```

Output
**SG**: C2/m, No. 12
**N(E_F)**: 14.32 states/eV per cell

---

[11]
Material: Nd3ErSc2
Method: DFT, PBE
State: optimized geometry

Structure (POSCAR):
```
Nd3ErSc2
1.0
7.0493 0.0000 0.0000
0.0000 6.0335 0.6267
-3.5247 -0.8041 8.5682
Nd Er Sc
6 2 4
direct
0.6231 0.2500 0.0000
0.3769 0.7500 0.0000
0.0430 0.0865 0.3380
0.7050 0.4135 0.6620
0.2950 0.5865 0.3380
0.9570 0.9135 0.6620
0.8730 0.7500 0.0000
0.1270 0.2500 0.0000
0.7912 0.5809 0.3349
0.5436 0.0809 0.3349
0.4564 0.9191 0.6651
0.2088 0.4191 0.6651
```

Output
**SG**: C2/c, No. 15
**N(E_F)**: 19.76 states/eV per cell

---

[12]
Material: Nd2Er8Sc
Method: DFT, PBE
State: optimized geometry

Structure (POSCAR):
```
Nd2Er8Sc
1.0
-7.5070 0.3556 -2.2862
2.8133 -3.1865 -4.3658
0.4818 -5.3959 5.7096
Nd Er Sc
2 8 1
direct
0.9086 0.7278 0.5507
0.0914 0.2722 0.4493
0.8184 0.4548 0.0877
0.5476 0.6380 0.7306
0.7265 0.1794 0.6389
0.2735 0.8206 0.3611
0.4524 0.3620 0.2694
0.1816 0.5452 0.9123
0.6369 0.9090 0.1787
0.3631 0.0910 0.8213
0.0000 0.0000 0.0000
```

Output
**SG**: P-1, No. 2
**N(E_F)**: 15.41 states/eV per cell

---

| no. | calculated volume (Å³/atom) | magnetic moment (μB per cell) | energy of formation from the pure elements (eV/atom) |
| --- | --- | --- | --- |
| 1 | 32.33 | 0.33 | 0.138 |
| 2 | 31.85 | 0.00 | 0.088 |
| 3 | 43.58 | 0.00 | 0.901 |
| 4 | 32.79 | 0.00 | 0.240 |
| 5 | 26.61 | 1.85 | 0.030 |
| 6 | 27.29 | 0.00 | 0.155 |
| 7 | 28.40 | 0.00 | 0.054 |
| 8 | 29.59 | 0.00 | 0.127 |
| 9 | 29.86 | 0.00 | 0.043 |
| 10 | 33.42 | 0.00 | 0.191 |
| 11 | 30.66 | 0.00 | 0.059 |
| 12 | 30.74 | 0.00 | 0.033 |